No. 1
The following is a PBE calculation of crystalline AlIrC at its relaxed geometry, from Alexandria.

a = 3.389 Å, b = 4.632 Å, c = 5.302 Å
α = 102.34°, β = 90.00°, γ = 109.18°
Space group P-1 (No. 2)
Unique sites:
Al 0.144 0.313 0.117 x2
Ir 0.468 0.918 0.242 x2
C 0.479 0.639 0.495 x2

Output
Energy relative to the elements (eV per atom): -0.026
Distance to the lowest polymorph of the same formula (meV per atom): 72.7

---

No. 2
The following is a PBE calculation of crystalline AlIrC at its relaxed geometry, from Alexandria.

a = 2.880 Å, b = 6.935 Å, c = 7.505 Å
α = 90.00°, β = 90.00°, γ = 90.00°
Space group Immm (No. 71)
Unique sites:
Al 0.000 0.000 0.245 x4
Ir 0.000 0.302 0.500 x4
C 0.000 0.401 0.000 x4

Output
Energy relative to the elements (eV per atom): 0.062
Distance to the lowest polymorph of the same formula (meV per atom): 160.7

---

No. 3
The following is a PBE calculation of crystalline AlIr2C at its relaxed geometry, from Alexandria.

a = 5.842 Å, b = 5.842 Å, c = 5.842 Å
α = 90.00°, β = 90.00°, γ = 90.00°
Space group Fm-3m (No. 225)
Unique sites:
Al 0.000 0.000 0.000 x4
Ir 0.250 0.250 0.250 x8
C 0.000 0.000 0.500 x4

Output
Energy relative to the elements (eV per atom): 0.734
Distance to the lowest polymorph of the same formula (meV per atom): 448.4

---

Repeat the third record exactly.
The following is a PBE calculation of crystalline AlIr2C at its relaxed geometry, from Alexandria.

a = 5.842 Å, b = 5.842 Å, c = 5.842 Å
α = 90.00°, β = 90.00°, γ = 90.00°
Space group Fm-3m (No. 225)
Unique sites:
Al 0.000 0.000 0.000 x4
Ir 0.250 0.250 0.250 x8
C 0.000 0.000 0.500 x4

Output
Energy relative to the elements (eV per atom): 0.734
Distance to the lowest polymorph of the same formula (meV per atom): 448.4